1.
{
  "formula": "AcHgPtPb",
  "functional": "PBE",
  "state": "relaxed",
  "lattice_angstrom": [[0.0000, 3.7551, 3.7551], [3.7551, 0.0000, 3.7551], [3.7551, 3.7551, 0.0000]],
  "species": ["Ac", "Hg", "Pt", "Pb"],
  "fractional_positions": [[0.0000, 0.0000, 0.0000], [0.2500, 0.2500, 0.2500], [0.7500, 0.7500, 0.7500], [0.5000, 0.5000, 0.5000]],
  "ef_mev_per_atom": -525,
  "relative_energy_ev_per_atom": 0.000
}


2.
{
  "formula": "AcHgPtPb",
  "functional": "PBE",
  "state": "relaxed",
  "lattice_angstrom": [[4.3154, 0.0000, 0.0000], [0.0000, 4.3154, 0.0000], [0.0000, 0.0000, 13.6059]],
  "species": ["Ac", "Ac", "Hg", "Hg", "Pt", "Pt", "Pb", "Pb"],
  "fractional_positions": [[0.2500, 0.2500, 0.1112], [0.7500, 0.7500, 0.8888], [0.2500, 0.7500, 0.5000], [0.7500, 0.2500, 0.5000], [0.2500, 0.2500, 0.8814], [0.7500, 0.7500, 0.1186], [0.2500, 0.2500, 0.6728], [0.7500, 0.7500, 0.3272]],
  "ef_mev_per_atom": -485,
  "relative_energy_ev_per_atom": 0.040
}


3.
{
  "formula": "AcPuHgPb",
  "functional": "PBE",
  "state": "relaxed",
  "lattice_angstrom": [[0.0000, 3.9810, 3.9810], [3.9810, 0.0000, 3.9810], [3.9810, 3.9810, 0.0000]],
  "species": ["Ac", "Pu", "Hg", "Pb"],
  "fractional_positions": [[0.0000, 0.0000, 0.0000], [0.5000, 0.5000, 0.5000], [0.7500, 0.7500, 0.7500], [0.2500, 0.2500, 0.2500]],
  "ef_mev_per_atom": -278
}


4.
{
  "formula": "AcHgRhPb",
  "functional": "PBE",
  "state": "relaxed",
  "lattice_angstrom": [[0.0000, 3.7234, 3.7234], [3.7234, 0.0000, 3.7234], [3.7234, 3.7234, 0.0000]],
  "species": ["Ac", "Hg", "Rh", "Pb"],
  "fractional_positions": [[0.0000, 0.0000, 0.0000], [0.7500, 0.7500, 0.7500], [0.2500, 0.2500, 0.2500], [0.5000, 0.5000, 0.5000]],
  "ef_mev_per_atom": -285
}


5.
{
  "formula": "AcHgRh3Pb",
  "functional": "PBE",
  "state": "relaxed",
  "lattice_angstrom": [[3.2353, -6.3500, 0.0000], [3.2353, 6.3500, 0.0000], [0.0000, 0.0000, 6.6175]],
  "species": ["Ac", "Ac", "Hg", "Hg", "Rh", "Rh", "Rh", "Rh", "Rh", "Rh", "Pb", "Pb"],
  "fractional_positions": [[0.1641, 0.8359, 0.7500], [0.8359, 0.1641, 0.2500], [0.4112, 0.5888, 0.7500], [0.5888, 0.4112, 0.2500], [0.2187, 0.2187, 0.0000], [0.2187, 0.2187, 0.5000], [0.3591, 0.6409, 0.2500], [0.6409, 0.3591, 0.7500], [0.7813, 0.7813, 0.0000], [0.7813, 0.7813, 0.5000], [0.1446, 0.8554, 0.2500], [0.8554, 0.1446, 0.7500]],
  "ef_mev_per_atom": -69
}


6.
{
  "formula": "AcHgSbPb",
  "functional": "PBE",
  "state": "relaxed",
  "lattice_angstrom": [[0.0000, 3.9702, 3.9702], [3.9702, 0.0000, 3.9702], [3.9702, 3.9702, 0.0000]],
  "species": ["Ac", "Hg", "Sb", "Pb"],
  "fractional_positions": [[0.0000, 0.0000, 0.0000], [0.2500, 0.2500, 0.2500], [0.7500, 0.7500, 0.7500], [0.5000, 0.5000, 0.5000]],
  "e_form_raw_ev_per_atom": -0.451
}


7.
{
  "formula": "AcScHgPb",
  "functional": "PBE",
  "state": "relaxed",
  "lattice_angstrom": [[0.0000, 3.8820, 3.8820], [3.8820, 0.0000, 3.8820], [3.8820, 3.8820, 0.0000]],
  "species": ["Ac", "Sc", "Hg", "Pb"],
  "fractional_positions": [[0.0000, 0.0000, 0.0000], [0.5000, 0.5000, 0.5000], [0.2500, 0.2500, 0.2500], [0.7500, 0.7500, 0.7500]],
  "ef_mev_per_atom": -345
}


8.
{
  "formula": "AcSm2Hg2Pb2",
  "functional": "PBE",
  "state": "relaxed",
  "lattice_angstrom": [[2.5941, 1.4977, 9.3701], [-2.5941, 1.4977, 9.3701], [0.0000, -2.9954, 9.3701]],
  "species": ["Ac", "Sm", "Sm", "Hg", "Hg", "Pb", "Pb"],
  "fractional_positions": [[0.0000, 0.0000, 0.0000], [0.1329, 0.1329, 0.1329], [0.8671, 0.8671, 0.8671], [0.4378, 0.4378, 0.4378], [0.5622, 0.5622, 0.5622], [0.2658, 0.2658, 0.2658], [0.7342, 0.7342, 0.7342]],
  "ef_mev_per_atom": -294
}


9.
{
  "formula": "AcSnHgPb",
  "functional": "PBE",
  "state": "relaxed",
  "lattice_angstrom": [[4.8690, 0.0000, 0.0000], [0.0000, 4.9089, 0.0000], [0.0000, 0.0000, 5.0609]],
  "species": ["Ac", "Sn", "Hg", "Pb"],
  "fractional_positions": [[0.0000, 0.0000, 0.0000], [0.5000, 0.5000, 0.0000], [0.5000, 0.0000, 0.5000], [0.0000, 0.5000, 0.5000]],
  "ef_mev_per_atom": -430,
  "relative_energy_ev_per_atom": 0.000
}


10.
{
  "formula": "AcSnHgPb",
  "functional": "PBE",
  "state": "relaxed",
  "lattice_angstrom": [[0.0000, 3.9711, 3.9711], [3.9711, 0.0000, 3.9711], [3.9711, 3.9711, 0.0000]],
  "species": ["Ac", "Sn", "Hg", "Pb"],
  "fractional_positions": [[0.0000, 0.0000, 0.0000], [0.2500, 0.2500, 0.2500], [0.7500, 0.7500, 0.7500], [0.5000, 0.5000, 0.5000]],
  "ef_mev_per_atom": -363,
  "relative_energy_ev_per_atom": 0.067
}


11.
{
  "formula": "AcSn2Hg5Pb",
  "functional": "PBE",
  "state": "relaxed",
  "lattice_angstrom": [[5.4692, 0.0000, 0.0000], [0.0000, 5.4692, 0.0000], [0.0000, 0.0000, 8.7097]],
  "species": ["Ac", "Sn", "Sn", "Hg", "Hg", "Hg", "Hg", "Hg", "Pb"],
  "fractional_positions": [[0.0000, 0.0000, 0.0000], [0.5000, 0.5000, 0.1605], [0.5000, 0.5000, 0.8395], [0.0000, 0.5000, 0.2875], [0.0000, 0.5000, 0.7125], [0.5000, 0.0000, 0.2875], [0.5000, 0.0000, 0.7125], [0.5000, 0.5000, 0.5000], [0.0000, 0.0000, 0.5000]],
  "ef_mev_per_atom": -62
}


12.
{
  "formula": "Ac4SnHg2Pb",
  "functional": "PBE",
  "state": "relaxed",
  "lattice_angstrom": [[2.8986, 1.6735, 9.4193], [-2.8986, 1.6735, 9.4193], [0.0000, -3.3471, 9.4193]],
  "species": ["Ac", "Ac", "Ac", "Ac", "Sn", "Hg", "Hg", "Pb"],
  "fractional_positions": [[0.1232, 0.1232, 0.1232], [0.3730, 0.3730, 0.3730], [0.6270, 0.6270, 0.6270], [0.8768, 0.8768, 0.8768], [0.0000, 0.0000, 0.0000], [0.2488, 0.2488, 0.2488], [0.7512, 0.7512, 0.7512], [0.5000, 0.5000, 0.5000]],
  "ef_mev_per_atom": -524
}